# 1
ZrCdSe2 after structural relaxation. Source: Alexandria via LeMat-Bulk, functional PBE.

Geometry as POSCAR:
```
ZrCdSe2
1.0
-3.5974 2.9074 1.7987
-0.6505 0.3970 4.9040
1.1570 4.2306 2.3222
Cd Se Zr
1 2 1
Cartesian
-1.5455 3.7675 4.5124 Cd
0.0000 0.0000 0.0000 Se
-2.3182 5.6512 6.7686 Se
-0.7727 1.8837 2.2562 Zr
```

Calculated values
raw formation energy = -0.151 eV per formula unit
SG = No. 216

=====

# 2
TaCdH after structural relaxation. Source: Alexandria via LeMat-Bulk, functional PBE.

Geometry as POSCAR:
```
TaCdH
1.0
-1.8707 -1.9874 6.5838
-2.7907 -2.0623 -1.4155
4.0459 -5.1889 -0.4168
H Cd Ta
4 4 4
Cartesian
-0.4297 -4.6486 5.1395 H
0.6239 -7.8217 2.7241 H
-0.1858 -4.5900 -0.3881 H
-1.2393 -1.4170 2.0274 H
2.6901 -5.0586 -0.4142 Cd
-1.4945 -4.3095 1.7835 Cd
-3.3056 -4.1800 5.1656 Cd
0.8790 -4.9292 2.9679 Cd
0.7875 -2.9742 0.3001 Ta
0.9522 -7.0916 1.0132 Ta
-1.4030 -6.2645 4.4513 Ta
-1.5676 -2.1471 3.7383 Ta
```

Calculated values
SG = No. 62

=====

# 3
TcMo2Ir after structural relaxation. Source: Alexandria via LeMat-Bulk, functional PBE.

Geometry as POSCAR:
```
TcMo2Ir
1.0
4.7896 0.2555 -0.4940
-1.8954 4.4060 -0.4940
0.2586 0.4165 2.7202
Ir Mo Tc
1 2 1
Cartesian
-0.8184 2.4112 1.1131 Ir
0.0000 0.0000 0.0000 Mo
1.4471 2.3308 -0.4940 Mo
2.5241 0.3360 1.1131 Tc
```

Calculated values
energy of formation = -0.065 eV per atom
SG = No. 65

=====

# 4
Rb5Tm2F12 after structural relaxation. Source: Alexandria via LeMat-Bulk, functional PBE.

Geometry as POSCAR:
```
Rb5Tm2F12
1.0
-5.1441 -2.8757 3.4310
1.9773 -7.6338 -1.4302
4.4433 -3.7923 5.4868
Rb Tm F
5 2 12
Cartesian
1.3522 -2.8474 1.0993 Rb
-0.3830 -5.6341 3.2656 Rb
-2.5721 -1.4379 1.7155 Rb
1.6596 -8.6677 4.2221 Rb
-0.0756 -11.4544 6.3884 Rb
2.6442 -6.5950 0.4402 Tm
3.7765 -4.8310 3.6164 Tm
-4.2052 -3.2168 3.2857 F
1.7667 -3.9801 3.6526 F
0.7376 -5.5833 0.7659 F
-0.6970 -5.7445 6.3447 F
-2.1403 -7.9929 2.2962 F
-1.3742 -7.7253 4.7803 F
2.6508 -6.5765 2.7073 F
1.9736 -8.5573 1.1430 F
3.4169 -6.3089 5.1914 F
-0.4901 -10.3216 3.8351 F
0.5390 -8.7185 6.7218 F
5.4818 -11.0850 4.2019 F
```

Calculated values
raw formation energy = -60.496 eV per formula unit
SG = No. 12

=====

# 5
BaLi2HPd after structural relaxation. Source: Alexandria via LeMat-Bulk, functional PBE.

Geometry as POSCAR:
```
BaLi2HPd
1.0
-3.8607 1.8723 -0.5514
0.3613 -0.5154 -4.2800
-2.3719 -4.7802 0.3754
H Ba Pd Li
1 1 1 2
Cartesian
0.0000 0.0000 0.0000 H
-1.1859 -2.3901 0.1877 Ba
-2.9356 -1.7116 -2.2280 Pd
0.1807 -0.2577 -2.1400 Li
-1.9304 0.9362 -0.2757 Li
```

Calculated values
SG = No. 123

=====

# 6
Pu2ZnCo after structural relaxation. Source: Alexandria via LeMat-Bulk, functional PBE.

Geometry as POSCAR:
```
Pu2ZnCo
1.0
4.8000 0.0000 0.0000
0.0000 3.5522 0.0000
0.0000 0.0000 3.5522
Zn Co Pu
1 1 2
Cartesian
2.4000 0.0000 0.0000 Zn
2.4000 1.7761 1.7761 Co
0.0000 0.0000 1.7761 Pu
0.0000 1.7761 0.0000 Pu
```

Calculated values
energy of formation = 0.356 eV per atom
SG = No. 123

=====

# 7
CrTc2SnMo after structural relaxation. Source: Alexandria via LeMat-Bulk, functional PBE.

Geometry as POSCAR:
```
CrTc2SnMo
1.0
-2.0941 3.3697 2.5816
-2.2103 -3.1939 2.3759
3.5692 -0.1605 3.1048
Cr Mo Sn Tc
1 1 1 2
Cartesian
-1.1052 -1.5969 1.1880 Cr
-0.3676 0.0077 4.0311 Mo
0.0000 0.0000 0.0000 Sn
1.7846 -0.0802 1.5524 Tc
-1.0471 1.6848 1.2908 Tc
```

Calculated values
energy of formation = 2.358 eV per atom
SG = No. 123

=====

# 8
Nd4ZnAu after structural relaxation. Source: Alexandria via LeMat-Bulk, functional PBE.

Geometry as POSCAR:
```
Nd4ZnAu
1.0
5.1007 0.0001 -0.0018
-0.0001 5.1014 -0.0028
0.0031 0.0047 7.2831
Nd Zn Au
4 1 1
Cartesian
2.5574 5.0877 1.8165 Nd
2.5597 5.0923 5.4314 Nd
0.0094 2.5409 5.4336 Nd
0.0069 2.5371 1.8195 Nd
0.0080 5.0900 3.6254 Zn
2.5600 2.5418 7.2674 Au
```

Calculated values
energy of formation = -0.171 eV per atom
SG = No. 123

=====

Looking at electronic total energy for the records above, in order, we have -4.15, -5.07, -10.29, -5.09, -3.12, -8.90, -6.68, -4.11 eV/atom.
Looking at D(E_F) for the records above, in order, we have 1.41, 1.93, 3.62, 6.59, 1.44, 8.60, 8.25, 9.17 states/eV per cell.